First-principles (PBE) data for an optimized crystal structure of InGaF, as listed in Alexandria via LeMat-Bulk.

Magnetization = 0.000 μB per atom
VASP energy = -10.09 eV for the cell shown
DOS at the Fermi energy = 0.89 states/eV per cell

CIF file:
```
data_InGaF
_chemical_formula_sum 'In1 Ga1 F1'
_space_group_name_H-M_alt 'P 3 m 1'
_space_group_IT_number 156
_space_group_name_Hall 'P 3 -2"'
_cell_length_a 4.5041
_cell_length_b 4.5041
_cell_length_c 3.2904
_cell_angle_alpha 90.00
_cell_angle_beta 90.00
_cell_angle_gamma 120.00
loop_
_atom_site_label
_atom_site_type_symbol
_atom_site_fract_x
_atom_site_fract_y
_atom_site_fract_z
In1 In 0.0000 0.0000 0.0000
Ga1 Ga 0.6667 0.3333 0.5264
F1 F 0.3333 0.6667 0.7366
```